(one)
Crystalline CoBi2Os2 at its relaxed geometry. Source: Alexandria, functional PBE.

Output
Crystal system: tetragonal

```
CoBi2Os2
1.0
-1.004 -1.509 -7.639
6.738 -4.029 -0.089
-1.580 -2.659 0.733
Bi Os Co
4 4 2
Direct
0.842 0.658 0.000
0.342 0.842 0.000
0.158 0.342 0.000
0.658 0.158 0.000
0.141 0.641 0.500
0.641 0.859 0.500
0.859 0.359 0.500
0.359 0.141 0.500
0.500 0.500 0.000
0.000 0.000 0.000
```

***

(two)
Crystalline CoBi2Os2 at its relaxed geometry. Source: Alexandria, functional PBE.

Output
Crystal system: tetragonal

```
CoBi2Os2
1.0
-2.677 -2.180 0.668
2.095 -2.758 -0.607
1.895 -2.624 8.287
Os Bi Co
2 2 1
Direct
0.750 0.250 0.500
0.250 0.750 0.500
0.598 0.598 0.804
0.402 0.402 0.196
0.000 0.000 0.000
```

***

Here are the energies relative to the best structure, in eV/atom: (one) 0.332; (two) 0.000.